# MnSbTe2N

Crystalline MnSbTe2N at its relaxed geometry (PBE-GGA, Alexandria).

Properties
**Uncorrected formation energy**: 1.45 eV/atom
**ΔE to the lowest computed polymorph**: 1.241 eV per atom

a = 4.8659 Å, b = 4.8659 Å, c = 4.9460 Å
α = 90.00°, β = 90.00°, γ = 90.00°
Closest atoms and distances in Å follow each position.
Fractional positions:
Te1 0.0000 0.5000 0.0000  2 Mn 2.43
Te2 0.5000 0.0000 0.0000  2 Mn 2.43
Sb1 0.0000 0.0000 0.5000  2 Mn 2.47
Mn1 0.0000 0.0000 0.0000  4 Te 2.43, 2 Sb 2.47
N1 0.5000 0.5000 0.5000  4 Sb 3.44, 8 Te 3.47

# MnSbTeN2

Crystalline MnSbTeN2 at its relaxed geometry (PBE-GGA, Alexandria).

Properties
**Uncorrected formation energy**: 1.22 eV/atom
**ΔE to the lowest computed polymorph**: 0.204 eV per atom

a = 4.0277 Å, b = 4.0277 Å, c = 6.4899 Å
α = 90.00°, β = 90.00°, γ = 90.00°
Closest atoms and distances in Å follow each position.
Fractional positions:
Mn1 0.5000 0.5000 0.5000  4 Te 2.85
Sb1 0.0000 0.0000 0.0000  4 N 2.01
N1 0.0000 0.5000 0.0000  2 Sb 2.01
N2 0.5000 0.0000 0.0000  2 Sb 2.01
Te1 0.0000 0.0000 0.5000  4 Mn 2.85

# MnSbTeN2

Crystalline MnSbTeN2 at its relaxed geometry (PBE-GGA, Alexandria).

Properties
**Uncorrected formation energy**: 1.01 eV/atom
**ΔE to the lowest computed polymorph**: 0.000 eV per atom

a = 3.9295 Å, b = 3.9295 Å, c = 5.3230 Å
α = 90.00°, β = 90.00°, γ = 90.00°
Closest atoms and distances in Å follow each position.
Fractional positions:
Mn1 0.0000 0.0000 0.0000  4 N 1.96
N1 0.5000 0.0000 0.0000  2 Mn 1.96
N2 0.0000 0.5000 0.0000  2 Mn 1.96
Sb1 0.5000 0.5000 0.5000  4 Te 2.78
Te1 0.0000 0.0000 0.5000  2 Mn 2.66, 4 Sb 2.78

# MnSbTe2N

Crystalline MnSbTe2N at its relaxed geometry (PBE-GGA, Alexandria).

Properties
**Uncorrected formation energy**: 1.14 eV/atom
**ΔE to the lowest computed polymorph**: 0.936 eV per atom

a = 4.6237 Å, b = 4.6237 Å, c = 4.6971 Å
α = 90.00°, β = 90.00°, γ = 90.00°
Closest atoms and distances in Å follow each position.
Fractional positions:
N1 0.0000 0.0000 0.0000  4 Te 2.31, 2 Sb 2.35
Te1 0.5000 0.0000 0.0000  2 N 2.31
Te2 0.0000 0.5000 0.0000  2 N 2.31
Sb1 0.0000 0.0000 0.5000  2 N 2.35
Mn1 0.5000 0.5000 0.5000  4 Sb 3.27, 8 Te 3.30

# Ti2MnSbN

Crystalline Ti2MnSbN at its relaxed geometry (PBE-GGA, Alexandria).

Properties
**Uncorrected formation energy**: -0.67 eV/atom

a = 4.2564 Å, b = 4.2564 Å, c = 3.9194 Å
α = 90.00°, β = 90.00°, γ = 90.00°
Closest atoms and distances in Å follow each position.
Fractional positions:
Ti1 0.0000 0.5000 0.0000  2 N 2.13
Ti2 0.5000 0.0000 0.0000  2 N 2.13
N1 0.0000 0.0000 0.0000  2 Mn 1.96, 4 Ti 2.13
Mn1 0.0000 0.0000 0.5000  2 N 1.96
Sb1 0.5000 0.5000 0.5000  8 Ti 2.89, 4 Mn 3.01

# ZrMn2SbN

Crystalline ZrMn2SbN at its relaxed geometry (PBE-GGA, Alexandria).

Properties
**Uncorrected formation energy**: -0.41 eV/atom

a = 4.0744 Å, b = 4.5642 Å, c = 4.0744 Å
α = 90.00°, β = 90.00°, γ = 90.00°
Closest atoms and distances in Å follow each position.
Fractional positions:
Sb1 0.5000 0.5000 0.5000  4 Zr 2.88, 8 Mn 3.06
N1 0.0000 0.0000 0.0000  4 Mn 2.04
Zr1 0.0000 0.5000 0.0000  2 N 2.28
Mn1 0.0000 0.0000 0.5000  2 N 2.04
Mn2 0.5000 0.0000 0.0000  2 N 2.04

# Sc3MnN4

Crystalline Sc3MnN4 at its relaxed geometry (PBE-GGA, Alexandria).

Properties
**Uncorrected formation energy**: -1.44 eV/atom

a = 3.1287 Å, b = 5.3726 Å, c = 5.3726 Å
α = 70.36°, β = 90.02°, γ = 89.98°
Closest atoms and distances in Å follow each position.
Fractional positions:
Sc1 0.0000 0.0001 0.0000  6 N 2.20
Sc2 0.0000 0.5001 0.5000  6 N 2.20
Sc3 0.5000 0.0001 0.5000  6 N 2.24-2.26
N1 0.5000 0.7450 0.2448  1 Mn 2.15, 5 Sc 2.20-2.24
N2 0.9998 0.2631 0.2369  2 Mn 2.14-2.15, 4 Sc 2.20-2.26
N3 0.0001 0.7371 0.7630  2 Mn 2.14-2.15, 4 Sc 2.20-2.26
N4 0.5000 0.2552 0.7551  1 Mn 2.15, 5 Sc 2.20-2.24
Mn1 0.5000 0.5001 0.0000  6 N 2.14-2.15

# Sc3MnN

Crystalline Sc3MnN at its relaxed geometry (PBE-GGA, Alexandria).

Properties
**Uncorrected formation energy**: 0.96 eV/atom
**ΔE to the lowest computed polymorph**: 1.478 eV per atom

a = 4.6549 Å, b = 4.6549 Å, c = 4.6549 Å
α = 90.00°, β = 90.00°, γ = 90.00°
Closest atoms and distances in Å follow each position.
Fractional positions:
N1 0.5000 0.5000 0.5000  12 Sc 3.29
Mn1 0.0000 0.0000 0.0000  6 Sc 2.33
Sc1 0.5000 0.0000 0.0000  2 Mn 2.33
Sc2 0.0000 0.5000 0.0000  2 Mn 2.33
Sc3 0.0000 0.0000 0.5000  2 Mn 2.33